Record 1
VASP calculation (PBE) on a geometry-optimized NaBeCo structure.

The polymorph energy (0 for the lowest one) is 0.565 eV/atom. The symmetry is F-43m (216). As for the energy: -7.26 eV/cell. The value obtained for the volume is 50.5 Å³/cell.

```
NaBeCo
1.0
0.0000 2.9336 2.9336
2.9336 0.0000 2.9336
2.9336 2.9336 0.0000
Na Be Co
1 1 1
direct
0.0000 0.0000 0.0000 Na
0.7500 0.7500 0.7500 Be
0.2500 0.2500 0.2500 Co
```

=====

Record 2
VASP calculation (PBE) on a geometry-optimized K2HgIrBr6 structure.

The symmetry is Fm-3m (225). As for the energy: -29.16 eV/cell. The value obtained for the volume is 328.4 Å³/cell.

```
K2HgIrBr6
1.0
0.0000 5.4760 5.4760
5.4760 0.0000 5.4760
5.4760 5.4760 0.0000
K Hg Ir Br
2 1 1 6
direct
0.2500 0.2500 0.2500 K
0.7500 0.7500 0.7500 K
0.0000 0.0000 0.0000 Hg
0.5000 0.5000 0.5000 Ir
0.2693 0.2693 0.7307 Br
0.2693 0.7307 0.2693 Br
0.2693 0.7307 0.7307 Br
0.7307 0.2693 0.2693 Br
0.7307 0.2693 0.7307 Br
0.7307 0.7307 0.2693 Br
```